1.
Entry from Alexandria via LeMat-Bulk: a relaxed structure of Tl2AgOs (PBE).

## Properties
Theoretical density (g/cm3): 13.4
Crystal system: tetragonal
ΔE_f (eV/atom): 0.762
E_tot (eV/atom): -3.941

```
data_Tl2AgOs
_cell_length_a 3.028
_cell_length_b 3.028
_cell_length_c 9.544
_cell_angle_alpha 90.00
_cell_angle_beta 90.00
_cell_angle_gamma 90.00
_space_group_name_H-M_alt 'P 4 m m'
_space_group_IT_number 99
_space_group_name_Hall 'P 4 -2'
loop_
_atom_site_label
_atom_site_fract_x
_atom_site_fract_y
_atom_site_fract_z
Tl1 0.000 0.000 0.000
Tl2 0.500 0.500 0.319
Ag1 0.000 0.000 0.581
Os1 0.500 0.500 0.776
```


2.
Entry from Alexandria via LeMat-Bulk: a relaxed structure of Pm2PuPt (PBE).

## Properties
Theoretical density (g/cm3): 12.0
Crystal system: cubic
ΔE_f (eV/atom): -0.160
E_tot (eV/atom): -7.629

```
data_Pm2PuPt
_cell_length_a 7.391
_cell_length_b 7.391
_cell_length_c 7.391
_cell_angle_alpha 90.00
_cell_angle_beta 90.00
_cell_angle_gamma 90.00
_space_group_name_H-M_alt 'F m -3 m'
_space_group_IT_number 225
_space_group_name_Hall '-F 4 2 3'
loop_
_atom_site_label
_atom_site_fract_x
_atom_site_fract_y
_atom_site_fract_z
Pm1 0.250 0.250 0.250
Pu1 0.000 0.000 0.000
Pt1 0.000 0.000 0.500
```